# ZrTl2Ag

A relaxed ZrTl2Ag crystal (PBE, the Alexandria database).

Properties
symmetry = I-4m2 (119)
energy of formation = 0.118 eV per atom
total DFT energy (no corrections) = -3.915 eV/atom

abc: 5.7418 5.7418 5.7418
angles: 135.58 135.58 64.63
Positions (direct):
Ag1 0.7500 0.2500 0.5000
Tl1 0.0000 0.0000 0.0000
Tl2 0.2500 0.7500 0.5000
Zr1 0.5000 0.5000 0.0000


# AgTe3Br

A relaxed AgTe3Br crystal (PBE, the Alexandria database).

Properties
symmetry = Pm-3m (221)
formation energy (no corrections) = 0.850 eV per atom
total DFT energy (no corrections) = -1.939 eV/atom

abc: 5.5993 5.5993 5.5993
angles: 90.00 90.00 90.00
Positions (direct):
Te1 0.0000 0.5000 0.0000
Te2 0.0000 0.0000 0.5000
Te3 0.5000 0.0000 0.0000
Br1 0.0000 0.0000 0.0000
Ag1 0.5000 0.5000 0.5000